[1]
Below is a relaxed structure of MgZnAg2, with properties calculated at the GGA-PBEsol level.

Properties
Final energy ... -10.4 eV per cell

a = 2.8806 Å, b = 4.4957 Å, c = 5.3510 Å
α = 90.00°, β = 104.94°, γ = 90.00°
Space group Pm (No. 6)
Unique sites:
Mg 0.0000 0.0000 0.0000 (multiplicity 1)
Zn 0.6118 0.5000 0.2328 (multiplicity 1)
Ag 0.3495 0.5000 0.7139 (multiplicity 1)
Ag 0.7303 0.0000 0.4785 (multiplicity 1)

[2]
Below is a relaxed structure of Mg2ZnAg, with properties calculated at the GGA-PBEsol level.

Properties
Final energy ... -8.7 eV per cell

a = 3.4135 Å, b = 3.4135 Å, c = 6.1077 Å
α = 90.00°, β = 90.00°, γ = 90.00°
Space group P4mm (No. 99)
Unique sites:
Mg 0.0000 0.0000 0.0000 (multiplicity 1)
Mg 0.5000 0.5000 0.2998 (multiplicity 1)
Zn 0.0000 0.0000 0.5347 (multiplicity 1)
Ag 0.5000 0.5000 0.7622 (multiplicity 1)

Copy entry 2 word for word.
Below is a relaxed structure of Mg2ZnAg, with properties calculated at the GGA-PBEsol level.

Properties
Final energy ... -8.7 eV per cell

a = 3.4135 Å, b = 3.4135 Å, c = 6.1077 Å
α = 90.00°, β = 90.00°, γ = 90.00°
Space group P4mm (No. 99)
Unique sites:
Mg 0.0000 0.0000 0.0000 (multiplicity 1)
Mg 0.5000 0.5000 0.2998 (multiplicity 1)
Zn 0.0000 0.0000 0.5347 (multiplicity 1)
Ag 0.5000 0.5000 0.7622 (multiplicity 1)

Copy entry 1 word for word.
Below is a relaxed structure of MgZnAg2, with properties calculated at the GGA-PBEsol level.

Properties
Final energy ... -10.4 eV per cell

a = 2.8806 Å, b = 4.4957 Å, c = 5.3510 Å
α = 90.00°, β = 104.94°, γ = 90.00°
Space group Pm (No. 6)
Unique sites:
Mg 0.0000 0.0000 0.0000 (multiplicity 1)
Zn 0.6118 0.5000 0.2328 (multiplicity 1)
Ag 0.3495 0.5000 0.7139 (multiplicity 1)
Ag 0.7303 0.0000 0.4785 (multiplicity 1)

Please write out number 2 again, unchanged.
Below is a relaxed structure of Mg2ZnAg, with properties calculated at the GGA-PBEsol level.

Properties
Final energy ... -8.7 eV per cell

a = 3.4135 Å, b = 3.4135 Å, c = 6.1077 Å
α = 90.00°, β = 90.00°, γ = 90.00°
Space group P4mm (No. 99)
Unique sites:
Mg 0.0000 0.0000 0.0000 (multiplicity 1)
Mg 0.5000 0.5000 0.2998 (multiplicity 1)
Zn 0.0000 0.0000 0.5347 (multiplicity 1)
Ag 0.5000 0.5000 0.7622 (multiplicity 1)